AsRh3 | PBE-GGA | optimized geometry

Unit cell a=2.9001 b=2.9001 c=8.1832 alpha=90.00 beta=90.00 gamma=120.00
Last column: nearest neighbours and their distance in Å.
Positions (direct):
As 0.0000 0.0000 0.0000  6 Rh 2.52
Rh 0.0000 0.0000 0.5000  12 Rh 2.77-2.90
Rh 0.6667 0.3333 0.2305  3 As 2.52, 3 Rh 2.77
Rh 0.6667 0.3333 0.7695  3 As 2.52, 3 Rh 2.77

Crystal system ... hexagonal
Total moment ... 0.98 μB/f.u.
Formation enthalpy at 0 K ... 25 meV per atom
DOS at the Fermi energy ... 5.454 states/eV/f.u.
VASP energy ... -26.6 eV for the cell shown